Record 1
A relaxed LiTiCo2Rh crystal. Source: Alexandria via LeMat-Bulk, functional PBE.

a b c (Å): 4.116 4.116 4.364
angles (deg): 90.00 90.00 90.00
Sites, in units of the cell vectors:
Li 0.000 0.000 0.000
Ti 0.000 0.000 0.500
Co 0.000 0.500 0.500
Co 0.500 0.000 0.500
Rh 0.500 0.500 0.000

energy relative to the elements: 1.013 eV per atom
Fermi-level density of states: 5.33 states/eV per cell


Record 2
A relaxed BeGaIr2 crystal. Source: Alexandria via LeMat-Bulk, functional PBE.

a b c (Å): 4.163 4.163 4.163
angles (deg): 60.00 60.00 60.00
Sites, in units of the cell vectors:
Be 0.000 0.000 0.000
Ga 0.500 0.500 0.500
Ir 0.250 0.250 0.250
Ir 0.750 0.750 0.750

energy relative to the elements: -0.481 eV per atom
Fermi-level density of states: 1.08 states/eV per cell


Record 3
A relaxed LiReSe2 crystal. Source: Alexandria via LeMat-Bulk, functional PBE.

a b c (Å): 5.616 5.616 5.616
angles (deg): 141.64 141.64 55.37
Sites, in units of the cell vectors:
Li 0.000 0.000 0.000
Re 0.250 0.750 0.500
Se 0.500 0.500 0.000
Se 0.750 0.250 0.500

Fermi-level density of states: 3.37 states/eV per cell
formation energy from raw total energies: 38.57 kJ per mole of atoms